First-principles (GGA+U) data for a relaxed TaCr2AsO crystal, as listed in Alexandria.

Output
Symmetry = P4/mmm (123)
Energy = -31.70 eV/cell

a = 5.014 Å, b = 3.722 Å, c = 5.014 Å
α = 90.00°, β = 90.00°, γ = 90.00°
Fractional positions:
O 0.000 0.500 0.000
Ta 0.500 0.500 0.500
Cr 0.000 0.000 0.500
Cr 0.500 0.000 0.000
As 0.000 0.000 0.000